#a
A geometry-optimized BaPmPd2 structure, computed with PBE.

Values from the calculation:
- magnetic moment (μB/cell) = 0.00
- symmetry = R3m (160)
- crystal system = trigonal

abc: 4.2517 4.2517 8.0497
angles: 74.69 74.69 60.00
Fractional positions:
Pd 0.0722 0.0722 0.7834
Pd 0.2630 0.2630 0.2110
Ba 0.4965 0.4965 0.5106
Pm 0.6683 0.6683 0.9950

=====

#b
A geometry-optimized BaPmPd2 structure, computed with PBE.

Values from the calculation:
- magnetic moment (μB/cell) = 0.00
- symmetry = P4/mmm (123)
- crystal system = tetragonal

abc: 3.7253 3.7253 7.6464
angles: 90.00 90.00 90.00
Fractional positions:
Pd 0.0000 0.0000 0.1998
Pd 0.0000 0.0000 0.8002
Ba 0.5000 0.5000 0.5000
Pm 0.5000 0.5000 0.0000

=====

Ordering by calculated energy gives the sequence #b, #a, with the first entry being the most stable.